Here is MgTlCr after structural relaxation from Alexandria. Energies are from PBE. Values from VASP.

Results
raw total energy: -4.1070 eV per atom
D(E_F): 0.539 states/eV/atom
size of the total moment: 4.06 μB/f.u.
ρ: 7.16 Mg/m³

```
&SYSTEM
  ibrav = 0, nat = 3, ntyp = 3
/
ATOMIC_SPECIES
Mg 24.30 Mg.upf
Tl 204.38 Tl.upf
Cr 52.00 Cr.upf
CELL_PARAMETERS angstrom
-0.9975 3.6051 3.0581
-1.0097 -4.5615 1.2314
2.9285 -0.2961 1.3043
ATOMIC_POSITIONS crystal
Mg 0.6667 0.3333 0.3477
Tl 0.3333 0.6667 0.7544
Cr 0.0000 0.0000 0.8979
```


Here is LaBiH8Ir2 after structural relaxation from Alexandria. Energies are from PBE. Values from VASP.

Results
raw total energy: -4.5041 eV per atom
D(E_F): 0.367 states/eV/atom
size of the total moment: 0.00 μB/f.u.
ρ: 9.32 Mg/m³

```
&SYSTEM
  ibrav = 0, nat = 12, ntyp = 4
/
ATOMIC_SPECIES
H 1.01 H.upf
La 138.91 La.upf
Ir 192.22 Ir.upf
Bi 208.98 Bi.upf
CELL_PARAMETERS angstrom
-4.5008 -2.0068 0.9819
-0.3181 -4.4044 2.3977
-1.7406 0.7539 6.4193
ATOMIC_POSITIONS crystal
H 0.8194 0.8194 0.5419
La 0.5000 0.5000 0.5000
H 0.4668 0.4676 0.1683
H 0.4676 0.8973 0.1683
Ir 0.7298 0.7298 0.8106
H 0.8973 0.4668 0.1683
H 0.1806 0.1806 0.4581
Bi 0.0000 0.0000 0.0000
H 0.5324 0.1027 0.8317
H 0.5332 0.5324 0.8317
Ir 0.2702 0.2702 0.1894
H 0.1027 0.5332 0.8317
```


Here is FeBAsI2 after structural relaxation from Alexandria. Energies are from PBE. Values from VASP.

Results
raw total energy: -3.3832 eV per atom
D(E_F): 0.863 states/eV/atom
size of the total moment: 1.03 μB/f.u.
ρ: 4.99 Mg/m³

```
&SYSTEM
  ibrav = 0, nat = 5, ntyp = 4
/
ATOMIC_SPECIES
I 126.90 I.upf
B 10.81 B.upf
Fe 55.84 Fe.upf
As 74.92 As.upf
CELL_PARAMETERS angstrom
5.4871 0.0000 0.0000
0.0000 4.3685 0.0000
0.0000 0.0000 5.4871
ATOMIC_POSITIONS crystal
I 0.5000 0.0000 0.0000
B 0.5000 0.5000 0.5000
I 0.0000 0.0000 0.5000
Fe 0.0000 0.0000 0.0000
As 0.0000 0.5000 0.0000
```


Here is TbEr2TmN4 after structural relaxation from Alexandria. Energies are from PBE. Values from VASP.

Results
raw total energy: -8.2012 eV per atom
D(E_F): 0.027 states/eV/atom
size of the total moment: 0.00 μB/f.u.
ρ: 10.36 Mg/m³

```
&SYSTEM
  ibrav = 0, nat = 8, ntyp = 4
/
ATOMIC_SPECIES
N 14.01 N.upf
Er 167.26 Er.upf
Tb 158.93 Tb.upf
Tm 168.93 Tm.upf
CELL_PARAMETERS angstrom
3.4404 0.0000 0.0000
0.0000 5.9563 0.1055
0.0000 -2.0828 5.5810
ATOMIC_POSITIONS crystal
N 0.5000 0.7525 0.7497
N 0.5000 0.2475 0.2503
Er 0.5000 0.0000 0.5000
Tb 0.5000 0.5000 0.0000
Er 0.0000 0.5000 0.5000
Tm 0.0000 0.0000 0.0000
N 0.0000 0.2467 0.7477
N 0.0000 0.7533 0.2523
```


Here is Sm2ErCo after structural relaxation from Alexandria. Energies are from PBE. Values from VASP.

Results
raw total energy: -5.2368 eV per atom
D(E_F): 1.295 states/eV/atom
size of the total moment: 1.60 μB/f.u.
ρ: 8.21 Mg/m³

```
&SYSTEM
  ibrav = 0, nat = 4, ntyp = 3
/
ATOMIC_SPECIES
Co 58.93 Co.upf
Sm 150.36 Sm.upf
Er 167.26 Er.upf
CELL_PARAMETERS angstrom
-0.7590 -3.1201 1.3624
1.1066 -1.5461 -2.9244
8.0868 -0.5127 3.3312
ATOMIC_POSITIONS crystal
Co 0.5000 0.5000 0.0000
Sm 0.0000 0.0000 0.1900
Er 0.5000 0.5000 0.5000
Sm 0.0000 0.0000 0.8100
```


Here is Dy2Ag3Pb3 after structural relaxation from Alexandria. Energies are from PBE. Values from VASP.

Results
raw total energy: -3.8616 eV per atom
D(E_F): 0.311 states/eV/atom
size of the total moment: 0.00 μB/f.u.
ρ: 10.82 Mg/m³

```
&SYSTEM
  ibrav = 0, nat = 8, ntyp = 3
/
ATOMIC_SPECIES
Dy 162.50 Dy.upf
Pb 207.20 Pb.upf
Ag 107.87 Ag.upf
CELL_PARAMETERS angstrom
-0.2650 1.2311 4.6307
-3.4638 -3.0852 0.6220
5.8197 -6.1378 1.9648
ATOMIC_POSITIONS crystal
Dy 0.0000 0.0000 0.7528
Pb 0.0000 0.5000 0.0000
Ag 0.5000 0.5000 0.2325
Dy 0.0000 0.0000 0.2472
Ag 0.5000 0.5000 0.7675
Ag 0.5000 0.0000 0.0000
Pb 0.0000 0.5000 0.5000
Pb 0.5000 0.0000 0.5000
```


Here is LaMgZr after structural relaxation from Alexandria. Energies are from PBE. Values from VASP.

Results
raw total energy: -4.8765 eV per atom
D(E_F): 1.428 states/eV/atom
size of the total moment: 0.00 μB/f.u.
ρ: 5.15 Mg/m³

```
&SYSTEM
  ibrav = 0, nat = 3, ntyp = 3
/
ATOMIC_SPECIES
Mg 24.30 Mg.upf
La 138.91 La.upf
Zr 91.22 Zr.upf
CELL_PARAMETERS angstrom
-1.4004 1.8951 2.3810
-1.7324 -0.7716 -2.7613
-2.9491 -6.9403 3.7896
ATOMIC_POSITIONS crystal
Mg 0.3333 0.6667 0.3531
La 0.0000 0.0000 0.9881
Zr 0.6667 0.3333 0.6588
```


Here is ErScIn4 after structural relaxation from Alexandria. Energies are from PBE. Values from VASP.

Results
raw total energy: -3.6851 eV per atom
D(E_F): 0.476 states/eV/atom
size of the total moment: 0.00 μB/f.u.
ρ: 6.44 Mg/m³

```
&SYSTEM
  ibrav = 0, nat = 6, ntyp = 3
/
ATOMIC_SPECIES
Er 167.26 Er.upf
Sc 44.96 Sc.upf
In 114.82 In.upf
CELL_PARAMETERS angstrom
-0.2673 4.5657 1.3551
-3.7271 -1.0506 2.8036
4.7244 -1.4266 5.7739
ATOMIC_POSITIONS crystal
Er 0.5013 0.4971 0.9981
Sc 0.0012 0.9975 0.4981
In 0.0020 0.4967 0.7293
In 0.0008 0.4982 0.2670
In 0.5007 0.9980 0.7303
In 0.5017 0.9962 0.2660
```